[1]
Here is a relaxed Ac2Mg3CuSn4 crystal from the Alexandria database. Energies are from PBE.

abc: 4.8405 4.8405 11.4337
angles: 90.00 90.00 90.00
Closest atoms and distances in Å follow each position.
Atoms (fractional coordinates):
Ac 0.0000 0.5000 0.2471  8 Sn 3.68-3.77, 6 Mg 3.69-3.72, 2 Cu 3.72
Ac 0.5000 0.0000 0.7529  8 Sn 3.68-3.77, 6 Mg 3.69-3.72, 2 Cu 3.72
Mg 0.0000 0.0000 0.0000  4 Sn 2.83
Mg 0.0000 0.5000 0.6333  5 Sn 2.73-2.86
Mg 0.5000 0.0000 0.3667  5 Sn 2.73-2.86
Cu 0.5000 0.5000 0.0000  4 Sn 2.83
Sn 0.0000 0.0000 0.5000  4 Mg 2.86
Sn 0.0000 0.5000 0.8720  3 Mg 2.73-2.83, 2 Cu 2.83
Sn 0.5000 0.0000 0.1280  3 Mg 2.73-2.83, 2 Cu 2.83
Sn 0.5000 0.5000 0.5000  4 Mg 2.86

Values from the calculation:
SG: P-4m2, No. 115
Magnetic moment (μB/f.u.): 0.000
ΔH_f (0 K) (kcal/mol of atoms): -9.05

[2]
Here is a relaxed Sr2MnGeP crystal from the Alexandria database. Energies are from PBE.

abc: 5.8969 5.8969 4.7133
angles: 90.00 90.00 90.00
Closest atoms and distances in Å follow each position.
Atoms (fractional coordinates):
Sr 0.0000 0.5000 0.0000  2 Ge 2.95
Sr 0.5000 0.0000 0.0000  2 Ge 2.95
Mn 0.0000 0.0000 0.5000  2 Ge 2.36
Ge 0.0000 0.0000 0.0000  2 Mn 2.36
P 0.5000 0.5000 0.5000  8 Sr 3.77, 4 Mn 4.17

Values from the calculation:
SG: P4/mmm, No. 123
Magnetic moment (μB/f.u.): 4.043
ΔH_f (0 K) (kcal/mol of atoms): 1.01

[3]
Here is a relaxed AlHgB3 crystal from the Alexandria database. Energies are from PBE.

abc: 4.2656 4.2656 4.2656
angles: 90.00 90.00 90.00
Closest atoms and distances in Å follow each position.
Atoms (fractional coordinates):
Al 0.0000 0.0000 0.0000  6 B 2.13
Hg 0.5000 0.5000 0.5000  12 B 3.02
B 0.0000 0.0000 0.5000  2 Al 2.13
B 0.0000 0.5000 0.0000  2 Al 2.13
B 0.5000 0.0000 0.0000  2 Al 2.13

Values from the calculation:
Energy relative to the lowest polymorph listed for this composition (meV/atom): 0
SG: Pm-3m, No. 221
Magnetic moment (μB/f.u.): 0.000
ΔH_f (0 K) (kcal/mol of atoms): 40.40

[4]
Here is a relaxed La2PrH crystal from the Alexandria database. Energies are from PBE.

abc: 9.2748 9.2748 9.2748
angles: 23.60 23.60 23.60
Closest atoms and distances in Å follow each position.
Atoms (fractional coordinates):
La 0.2218 0.2218 0.2218  3 H 2.65
La 0.7782 0.7782 0.7782  3 H 2.65
Pr 0.0000 0.0000 0.0000  6 La 3.73, 6 Pr 3.79
H 0.5000 0.5000 0.5000  6 La 2.65

Values from the calculation:
Energy relative to the lowest polymorph listed for this composition (meV/atom): 4
SG: R-3m, No. 166
Magnetic moment (μB/f.u.): 0.000